Here is crystalline TlIn2Se2 at its relaxed geometry from Alexandria. Energies are from PBEsol.

Cell and atoms, written as POSCAR:
```
TlIn2Se2
1.0
5.302 0.000 0.000
-2.651 5.426 0.012
0.000 2.580 4.632
Tl Se In
1 2 2
Direct
0.000 0.000 0.000
0.250 0.500 0.250
0.750 0.500 0.750
0.649 0.298 0.351
0.351 0.702 0.649
```

Calculated values
Space group: No. 139
Raw formation energy: -0.3359 eV/atom


Here is crystalline Cd4Ag at its relaxed geometry from Alexandria. Energies are from PBEsol.

Cell and atoms, written as POSCAR:
```
Cd4Ag
1.0
3.077 0.000 0.000
1.538 2.665 0.000
1.538 0.888 11.998
Ag Cd
1 4
Direct
0.000 0.000 0.000
0.397 0.397 0.810
0.799 0.799 0.604
0.603 0.603 0.190
0.201 0.201 0.396
```

Calculated values
Offset from the most stable computed form: 0.055 eV per formula unit
Energy of formation: -0.009 eV per formula unit
Space group: No. 166


Here is crystalline LaOF3 at its relaxed geometry from Alexandria. Energies are from PBEsol.

Cell and atoms, written as POSCAR:
```
LaOF3
1.0
-0.902 -0.283 -3.920
3.880 -0.707 -0.841
-0.629 -3.960 0.431
F O La
3 1 1
Direct
0.000 0.500 0.000
0.500 0.000 0.000
0.000 0.000 0.500
0.000 0.000 0.000
0.500 0.500 0.500
```

Calculated values
Space group: No. 221
Raw formation energy: -1.7165 eV/atom


Here is crystalline SrZrAs2 at its relaxed geometry from Alexandria. Energies are from PBEsol.

Cell and atoms, written as POSCAR:
```
SrZrAs2
1.0
-2.827 -2.956 0.245
2.572 -2.274 2.237
-1.776 4.802 3.172
Zr As Sr
1 2 1
Direct
0.250 0.750 0.500
0.750 0.250 0.500
0.000 0.000 0.000
0.500 0.500 0.000
```

Calculated values
Offset from the most stable computed form: 2.441 eV per formula unit
Energy of formation: -2.237 eV per formula unit
Space group: No. 119


Here is crystalline SrMgNO2 at its relaxed geometry from Alexandria. Energies are from PBEsol.

Cell and atoms, written as POSCAR:
```
SrMgNO2
1.0
3.999 0.000 0.000
0.000 3.999 0.000
0.000 0.000 4.068
Mg O Sr N
1 2 1 1
Direct
0.000 0.000 0.000
0.000 0.500 0.000
0.500 0.000 0.000
0.500 0.500 0.500
0.000 0.000 0.500
```

Calculated values
Space group: No. 123
Raw formation energy: -1.0582 eV/atom


Here is crystalline BePtCl2 at its relaxed geometry from Alexandria. Energies are from PBEsol.

Cell and atoms, written as POSCAR:
```
BePtCl2
1.0
-3.578 -2.723 3.055
5.101 1.710 2.661
-0.299 4.221 3.412
Cl Pt Be
4 2 2
Direct
0.875 0.250 0.554
0.554 0.750 0.375
0.196 0.750 0.875
0.375 0.250 0.196
0.750 0.500 0.750
0.000 0.000 0.000
0.250 0.500 0.250
0.500 0.000 0.500
```

Calculated values
Offset from the most stable computed form: 1.567 eV per formula unit
Space group: No. 122
Raw formation energy: 0.0006 eV/atom


Here is crystalline FeCuBr at its relaxed geometry from Alexandria. Energies are from PBEsol.

Cell and atoms, written as POSCAR:
```
FeCuBr
1.0
2.930 0.631 0.000
-0.623 2.932 0.000
-1.153 -1.781 5.324
Fe Cu Br
1 1 1
Direct
0.330 0.330 0.660
0.694 0.694 0.387
0.977 0.977 0.953
```

Calculated values
Space group: No. 42
Raw formation energy: 0.5634 eV/atom


Here is crystalline RbLiMnP3HO10 at its relaxed geometry from Alexandria. Energies are from PBEsol.

Cell and atoms, written as POSCAR:
```
RbLiMnP3HO10
1.0
7.321 -0.081 0.010
1.816 7.093 0.010
2.408 1.848 8.881
P O Li Mn H Rb
6 20 2 2 2 2
Direct
0.883 0.120 0.253
0.120 0.883 0.753
0.854 0.706 0.315
0.288 0.152 0.183
0.706 0.854 0.815
0.152 0.288 0.683
0.423 0.126 0.287
0.658 0.746 0.414
0.352 0.257 0.584
0.138 0.742 0.900
0.591 0.866 0.701
0.911 0.917 0.715
0.742 0.138 0.400
0.122 0.079 0.800
0.126 0.423 0.787
0.630 0.020 0.904
0.020 0.630 0.404
0.746 0.658 0.914
0.917 0.911 0.215
0.861 0.255 0.107
0.990 0.326 0.595
0.866 0.591 0.201
0.079 0.122 0.300
0.257 0.352 0.084
0.326 0.990 0.095
0.255 0.861 0.607
0.934 0.132 0.519
0.132 0.934 0.019
0.495 0.998 0.498
0.998 0.495 0.998
0.502 0.003 0.987
0.003 0.502 0.487
0.529 0.461 0.770
0.461 0.529 0.270
```

Calculated values
Space group: No. 9
Energy: -7.12 eV/atom


One value per record, in order, for density: 7.4; 9.4; 5.4; 6.2; 4.0; 6.7; 6.9; 2.9 g/cm³.
One value per record, in order, for V: 26.6; 19.7; 13.1; 22.2; 13.0; 17.0; 15.9; 13.6 A^3/atom.